CrB2Pb2O6: optimized geometry, GGA+U.

Summary:
Crystal system ... monoclinic
DOS(E_F) ... 0.000 states/eV/cell
Calculated total energy ... -156.8 eV per cell
Total magnetization ... 4.00 μB/f.u.

a b c (Å): 10.451 5.198 6.270
angles (deg): 90.00 119.33 90.00
Space group C2/m (No. 12)
Asymmetric unit:
Cr1 0.000 0.000 0.000
B1 0.000 0.500 0.236
Pb1 0.203 0.000 0.709
O1 0.081 0.273 0.268
O2 0.146 0.500 0.833